1.
Below is a relaxed La6Ga3Rh crystal, with properties calculated at the GGA-PBE level.

Summary:
As for the formation energy: -466 meV/atom.

Cell lengths 5.4243, 9.2575, 12.6548 Å; angles 90.00, 115.07, 90.00 degrees
Space group P2_1/c (No. 14)
Inequivalent atoms, fractional coordinates:
La 0.0463 0.1768 0.0527 [4 per cell]
La 0.2517 0.5035 0.2427 [4 per cell]
La 0.4201 0.1590 0.4348 [4 per cell]
Ga 0.2394 0.6616 0.7473 [4 per cell]
Ga 0.5000 0.0000 0.0000 [2 per cell]
Rh 0.0000 0.0000 0.5000 [2 per cell]

***

2.
Below is a relaxed LaGa2Rh3 crystal, with properties calculated at the GGA-PBE level.

Summary:
As for the formation energy: -825 meV/atom.

Cell lengths 5.6777, 5.6777, 3.8446 Å; angles 90.00, 90.00, 120.00 degrees
Space group P6/mmm (No. 191)
Inequivalent atoms, fractional coordinates:
La 0.0000 0.0000 0.0000 [1 per cell]
Ga 0.3333 0.6667 0.0000 [2 per cell]
Rh 0.0000 0.5000 0.5000 [3 per cell]

***

3.
Below is a relaxed La4Ga16Rh3 crystal, with properties calculated at the GGA-PBE level.

Summary:
As for the formation energy: -643 meV/atom.

Cell lengths 6.2937, 6.2937, 11.5110 Å; angles 90.00, 90.00, 90.00 degrees
Space group P4/mmm (No. 123)
Inequivalent atoms, fractional coordinates:
La 0.0000 0.5000 0.1944 [4 per cell]
Ga 0.0000 0.0000 0.1958 [2 per cell]
Ga 0.2122 0.2122 0.0000 [4 per cell]
Ga 0.2516 0.2516 0.3846 [8 per cell]
Ga 0.5000 0.5000 0.2253 [2 per cell]
Rh 0.0000 0.5000 0.5000 [2 per cell]
Rh 0.5000 0.5000 0.0000 [1 per cell]

***

4.
Below is a relaxed LaGaRh crystal, with properties calculated at the GGA-PBE level.

Summary:
As for the formation energy: -790 meV/atom.

Cell lengths 4.3624, 4.3624, 7.1368 Å; angles 90.00, 90.00, 90.00 degrees
Space group P4/nmm (No. 129, origin choice 2)
Inequivalent atoms, fractional coordinates:
La 0.2500 0.2500 0.1911 [2 per cell]
Ga 0.2500 0.2500 0.6920 [2 per cell]
Rh 0.2500 0.7500 0.5000 [2 per cell]

***

5.
Below is a relaxed La2GaRh crystal, with properties calculated at the GGA-PBE level.

Summary:
As for the formation energy: -681 meV/atom.

Cell lengths 6.2725, 3.9996, 8.8551 Å; angles 90.00, 109.57, 90.00 degrees
Space group P2_1/m (No. 11)
Inequivalent atoms, fractional coordinates:
La 0.1894 0.2500 0.4080 [2 per cell]
La 0.2782 0.7500 0.0506 [2 per cell]
Ga 0.3505 0.7500 0.7122 [2 per cell]
Rh 0.1103 0.2500 0.7931 [2 per cell]

***

6.
Below is a relaxed La2Ga9Rh3 crystal, with properties calculated at the GGA-PBE level.

Summary:
As for the formation energy: -717 meV/atom.

Cell lengths 13.4011, 7.6884, 10.7015 Å; angles 90.00, 114.91, 90.00 degrees
Space group C2/c (No. 15)
Inequivalent atoms, fractional coordinates:
La 0.1684 0.0829 0.2502 [8 per cell]
Ga 0.0000 0.3740 0.2500 [4 per cell]
Ga 0.0584 0.0866 0.9236 [8 per cell]
Ga 0.1014 0.4165 0.0569 [8 per cell]
Ga 0.1024 0.3167 0.7481 [8 per cell]
Ga 0.2218 0.4184 0.4242 [8 per cell]
Rh 0.0845 0.2449 0.5007 [8 per cell]
Rh 0.2500 0.2500 0.0000 [4 per cell]

***

7.
Below is a relaxed LaGa2Rh2 crystal, with properties calculated at the GGA-PBE level.

Summary:
As for the formation energy: -607 meV/atom.

Cell lengths 7.7314, 7.7314, 2.9408 Å; angles 90.00, 90.00, 90.00 degrees
Space group P4/mbm (No. 127)
Inequivalent atoms, fractional coordinates:
La 0.0000 0.0000 0.0000 [2 per cell]
Ga 0.1175 0.3825 0.0000 [4 per cell]
Rh 0.1787 0.6787 0.5000 [4 per cell]

***

8.
Below is a relaxed La4GaRh crystal, with properties calculated at the GGA-PBE level.

Summary:
Its energy above the lowest structure with this stoichiometry is 18 meV/atom. As for the formation energy: -453 meV/atom.

Cell lengths 6.4353, 7.0907, 8.5395 Å; angles 90.00, 109.97, 90.00 degrees
Space group P2_1/m (No. 11)
Inequivalent atoms, fractional coordinates:
La 0.0124 0.0032 0.2327 [4 per cell]
La 0.4177 0.2500 0.6218 [2 per cell]
La 0.4384 0.2500 0.0915 [2 per cell]
Ga 0.2107 0.7500 0.5535 [2 per cell]
Rh 0.2350 0.7500 0.0605 [2 per cell]